# 1
Density functional theory data (SCAN) for a PBEsol-optimized structure of SrLaPd2.

Results
* calculated formation energy: -2.841 eV/f.u.
* mass density: 7668 kg/m³

a = 7.2468 Å, b = 7.2468 Å, c = 7.2468 Å
α = 90.00°, β = 90.00°, γ = 90.00°
Last column: nearest neighbours and their distance in Å.
Fractional positions:
Sr (0.0000, 0.0000, 0.0000)  8 Pd 3.14
Sr (0.0000, 0.5000, 0.5000)  8 Pd 3.14
Sr (0.5000, 0.0000, 0.5000)  8 Pd 3.14
Sr (0.5000, 0.5000, 0.0000)  8 Pd 3.14
La (0.0000, 0.0000, 0.5000)  8 Pd 3.14
La (0.0000, 0.5000, 0.0000)  8 Pd 3.14
La (0.5000, 0.0000, 0.0000)  8 Pd 3.14
La (0.5000, 0.5000, 0.5000)  8 Pd 3.14
Pd (0.2500, 0.2500, 0.2500)  4 La 3.14, 4 Sr 3.14
Pd (0.2500, 0.2500, 0.7500)  4 La 3.14, 4 Sr 3.14
Pd (0.2500, 0.7500, 0.2500)  4 La 3.14, 4 Sr 3.14
Pd (0.2500, 0.7500, 0.7500)  4 La 3.14, 4 Sr 3.14
Pd (0.7500, 0.2500, 0.2500)  4 La 3.14, 4 Sr 3.14
Pd (0.7500, 0.2500, 0.7500)  4 La 3.14, 4 Sr 3.14
Pd (0.7500, 0.7500, 0.2500)  4 La 3.14, 4 Sr 3.14
Pd (0.7500, 0.7500, 0.7500)  4 La 3.14, 4 Sr 3.14

# 2
Density functional theory data (SCAN) for a PBEsol-optimized structure of CaLa2Pd2.

Results
* calculated formation energy: -3.634 eV/f.u.
* mass density: 6843 kg/m³

a = 7.9337 Å, b = 7.9337 Å, c = 4.0921 Å
α = 90.00°, β = 90.00°, γ = 90.00°
Last column: nearest neighbours and their distance in Å.
Fractional positions:
Ca (0.0000, 0.0000, 0.0000)  4 Pd 3.11
Ca (0.5000, 0.5000, 0.0000)  4 Pd 3.11
La (0.1625, 0.3375, 0.5000)  6 Pd 3.09-3.11
La (0.3375, 0.8375, 0.5000)  6 Pd 3.09-3.11
La (0.6625, 0.1625, 0.5000)  6 Pd 3.09-3.11
La (0.8375, 0.6625, 0.5000)  6 Pd 3.09-3.11
Pd (0.1313, 0.6313, 0.0000)  1 Pd 2.95, 6 La 3.09-3.11, 2 Ca 3.11
Pd (0.3687, 0.1313, 0.0000)  1 Pd 2.95, 6 La 3.09-3.11, 2 Ca 3.11
Pd (0.6313, 0.8687, 0.0000)  1 Pd 2.95, 6 La 3.09-3.11, 2 Ca 3.11
Pd (0.8687, 0.3687, 0.0000)  1 Pd 2.95, 6 La 3.09-3.11, 2 Ca 3.11

# 3
Density functional theory data (SCAN) for a PBEsol-optimized structure of B2HS2.

Results
* mass density: 2203 kg/m³
* uncorrected energy: -7.269 eV/atom

a = 6.6631 Å, b = 6.6631 Å, c = 2.9465 Å
α = 90.00°, β = 90.00°, γ = 90.00°
Last column: nearest neighbours and their distance in Å.
Fractional positions:
B (0.0871, 0.4129, 0.0000)  1 B 1.64, 2 S 1.82
B (0.4129, 0.9129, 0.0000)  1 B 1.64, 2 S 1.82
B (0.5871, 0.0871, 0.0000)  1 B 1.64, 2 S 1.82
B (0.9129, 0.5871, 0.0000)  1 B 1.64, 2 S 1.82
H (0.0000, 0.0000, 0.5000)  4 S 2.40
H (0.5000, 0.5000, 0.5000)  4 S 2.40
S (0.2009, 0.2991, 0.5000)  2 B 1.82
S (0.2991, 0.7991, 0.5000)  2 B 1.82
S (0.7009, 0.2009, 0.5000)  2 B 1.82
S (0.7991, 0.7009, 0.5000)  2 B 1.82

# 4
Density functional theory data (SCAN) for a PBEsol-optimized structure of Zr2CrPb.

Results
* calculated formation energy: 0.240 eV/f.u.
* mass density: 9205 kg/m³

a = 3.3350 Å, b = 3.3350 Å, c = 7.1632 Å
α = 90.00°, β = 90.00°, γ = 90.00°
Last column: nearest neighbours and their distance in Å.
Fractional positions:
Zr (0.0000, 0.0000, 0.0000)  8 Zr 3.11-3.34, 4 Pb 3.12
Zr (0.5000, 0.5000, 0.2834)  4 Cr 2.79, 1 Pb 3.08, 4 Zr 3.11
Cr (0.0000, 0.0000, 0.4903)  4 Zr 2.79, 4 Pb 2.85
Pb (0.5000, 0.5000, 0.7138)  4 Cr 2.85, 5 Zr 3.08-3.12

# 5
Density functional theory data (SCAN) for a PBEsol-optimized structure of La2InBr.

Results
* uncorrected formation energy: -1.0851 eV per atom
* mass density: 6463 kg/m³

a = 4.9571 Å, b = 6.2621 Å, c = 3.9112 Å
α = 90.00°, β = 90.00°, γ = 90.00°
Last column: nearest neighbours and their distance in Å.
Fractional positions:
La (0.0000, 0.0000, 0.0000)  2 In 3.13, 4 Br 3.16
La (0.5000, 0.5000, 0.4985)  2 Br 3.13, 4 In 3.16
In (0.0000, 0.5000, 0.9982)  6 La 3.13-3.16
Br (0.5000, 0.0000, 0.4998)  6 La 3.13-3.16

# 6
Density functional theory data (SCAN) for a PBEsol-optimized structure of MgBeW2.

Results
* calculated formation energy: 1.665 eV/f.u.
* mass density: 11387 kg/m³

a = 6.1614 Å, b = 6.1614 Å, c = 6.1614 Å
α = 90.00°, β = 90.00°, γ = 90.00°
Last column: nearest neighbours and their distance in Å.
Fractional positions:
Mg (0.0000, 0.0000, 0.0000)  4 W 2.67, 4 Be 2.67
Mg (0.0000, 0.5000, 0.5000)  4 W 2.67, 4 Be 2.67
Mg (0.5000, 0.0000, 0.5000)  4 W 2.67, 4 Be 2.67
Mg (0.5000, 0.5000, 0.0000)  4 W 2.67, 4 Be 2.67
Be (0.2500, 0.2500, 0.2500)  4 W 2.67, 4 Mg 2.67
Be (0.2500, 0.7500, 0.7500)  4 W 2.67, 4 Mg 2.67
Be (0.7500, 0.2500, 0.7500)  4 W 2.67, 4 Mg 2.67
Be (0.7500, 0.7500, 0.2500)  4 W 2.67, 4 Mg 2.67
W (0.0000, 0.0000, 0.5000)  4 W 2.67, 4 Be 2.67
W (0.0000, 0.5000, 0.0000)  4 W 2.67, 4 Be 2.67
W (0.2500, 0.2500, 0.7500)  4 W 2.67, 4 Mg 2.67
W (0.2500, 0.7500, 0.2500)  4 W 2.67, 4 Mg 2.67
W (0.5000, 0.0000, 0.0000)  4 W 2.67, 4 Be 2.67
W (0.5000, 0.5000, 0.5000)  4 W 2.67, 4 Be 2.67
W (0.7500, 0.2500, 0.2500)  4 W 2.67, 4 Mg 2.67
W (0.7500, 0.7500, 0.7500)  4 W 2.67, 4 Mg 2.67

# 7
Density functional theory data (SCAN) for a PBEsol-optimized structure of SrLiCd2.

Results
* calculated formation energy: -1.086 eV/f.u.
* mass density: 5448 kg/m³

a = 5.1656 Å, b = 5.1656 Å, c = 7.2957 Å
α = 90.00°, β = 90.00°, γ = 90.00°
Last column: nearest neighbours and their distance in Å.
Fractional positions:
Sr (0.0000, 0.0000, 0.0000)  4 Cd 3.16, 4 Li 3.16
Sr (0.5000, 0.5000, 0.5000)  4 Cd 3.16, 4 Li 3.16
Li (0.0000, 0.5000, 0.2500)  4 Cd 3.16, 4 Sr 3.16
Li (0.5000, 0.0000, 0.7500)  4 Cd 3.16, 4 Sr 3.16
Cd (0.0000, 0.0000, 0.5000)  4 Cd 3.16, 4 Li 3.16
Cd (0.0000, 0.5000, 0.7500)  4 Cd 3.16, 4 Sr 3.16
Cd (0.5000, 0.0000, 0.2500)  4 Cd 3.16, 4 Sr 3.16
Cd (0.5000, 0.5000, 0.0000)  4 Cd 3.16, 4 Li 3.16

# 8
Density functional theory data (SCAN) for a PBEsol-optimized structure of LaTcAg.

Results
* calculated formation energy: 2.148 eV/f.u.
* mass density: 9907 kg/m³

a = 2.9114 Å, b = 2.9114 Å, c = 7.8724 Å
α = 90.00°, β = 90.00°, γ = 120.00°
Last column: nearest neighbours and their distance in Å.
Fractional positions:
La (0.0000, 0.0000, 0.0000)  6 La 2.91, 3 Tc 3.17
Tc (0.3333, 0.6667, 0.6590)  3 Ag 2.84, 6 Tc 2.91, 3 La 3.17
Ag (0.6667, 0.3333, 0.3685)  3 Tc 2.84, 6 Ag 2.91

# 9
Density functional theory data (SCAN) for a PBEsol-optimized structure of EuAgAu2.

Results
* calculated formation energy: -2.239 eV/f.u.
* mass density: 13184 kg/m³

a = 6.9061 Å, b = 6.9061 Å, c = 6.9061 Å
α = 90.00°, β = 90.00°, γ = 90.00°
Last column: nearest neighbours and their distance in Å.
Fractional positions:
Eu (0.0000, 0.0000, 0.0000)  8 Au 2.99
Eu (0.0000, 0.5000, 0.5000)  8 Au 2.99
Eu (0.5000, 0.0000, 0.5000)  8 Au 2.99
Eu (0.5000, 0.5000, 0.0000)  8 Au 2.99
Ag (0.0000, 0.0000, 0.5000)  8 Au 2.99
Ag (0.0000, 0.5000, 0.0000)  8 Au 2.99
Ag (0.5000, 0.0000, 0.0000)  8 Au 2.99
Ag (0.5000, 0.5000, 0.5000)  8 Au 2.99
Au (0.2500, 0.2500, 0.2500)  4 Eu 2.99, 4 Ag 2.99
Au (0.2500, 0.2500, 0.7500)  4 Eu 2.99, 4 Ag 2.99
Au (0.2500, 0.7500, 0.2500)  4 Eu 2.99, 4 Ag 2.99
Au (0.2500, 0.7500, 0.7500)  4 Eu 2.99, 4 Ag 2.99
Au (0.7500, 0.2500, 0.2500)  4 Eu 2.99, 4 Ag 2.99
Au (0.7500, 0.2500, 0.7500)  4 Eu 2.99, 4 Ag 2.99
Au (0.7500, 0.7500, 0.2500)  4 Eu 2.99, 4 Ag 2.99
Au (0.7500, 0.7500, 0.7500)  4 Eu 2.99, 4 Ag 2.99

# 10
Density functional theory data (SCAN) for a PBEsol-optimized structure of LiCrBiCl2.

Results
* uncorrected formation energy: -0.5973 eV per atom
* mass density: 4632 kg/m³

a = 4.6090 Å, b = 4.6090 Å, c = 5.7175 Å
α = 90.00°, β = 90.00°, γ = 90.00°
Last column: nearest neighbours and their distance in Å.
Fractional positions:
Li (0.0000, 0.0000, 0.0000)  4 Bi 3.26
Cr (0.5000, 0.5000, 0.5000)  4 Cl 2.30
Bi (0.5000, 0.5000, 0.0000)  2 Cr 2.86
Cl (0.0000, 0.5000, 0.5000)  2 Cr 2.30
Cl (0.5000, 0.0000, 0.5000)  2 Cr 2.30

# 11
Density functional theory data (SCAN) for a PBEsol-optimized structure of AlTcOs2.

Results
* calculated formation energy: -0.408 eV/f.u.
* mass density: 14999 kg/m³

a = 8.9707 Å, b = 2.7415 Å, c = 4.6247 Å
α = 90.00°, β = 100.26°, γ = 90.00°
Last column: nearest neighbours and their distance in Å.
Fractional positions:
Al (0.0000, 0.0000, 0.0000)  6 Os 2.65-2.75, 4 Tc 2.69, 2 Al 2.74
Al (0.5000, 0.5000, 0.0000)  6 Os 2.65-2.75, 4 Tc 2.69, 2 Al 2.74
Tc (0.0000, 0.5000, 0.5000)  6 Os 2.67-2.75, 4 Al 2.69, 2 Tc 2.74
Tc (0.5000, 0.0000, 0.5000)  6 Os 2.67-2.75, 4 Al 2.69, 2 Tc 2.74
Os (0.2442, 0.0000, 0.7495)  3 Al 2.65-2.75, 3 Tc 2.67-2.75, 6 Os 2.68-2.74
Os (0.2558, 0.5000, 0.2505)  3 Al 2.65-2.75, 3 Tc 2.67-2.75, 6 Os 2.68-2.74
Os (0.7442, 0.5000, 0.7495)  3 Al 2.65-2.75, 3 Tc 2.67-2.75, 6 Os 2.68-2.74
Os (0.7558, 0.0000, 0.2505)  3 Al 2.65-2.75, 3 Tc 2.67-2.75, 6 Os 2.68-2.74

# 12
Density functional theory data (SCAN) for a PBEsol-optimized structure of Zr2CrPt.

Results
* calculated formation energy: -1.658 eV/f.u.
* mass density: 9981 kg/m³

a = 3.3360 Å, b = 3.3360 Å, c = 6.4210 Å
α = 90.00°, β = 90.00°, γ = 90.00°
Last column: nearest neighbours and their distance in Å.
Fractional positions:
Zr (0.0000, 0.0000, 0.0000)  4 Pt 2.76, 1 Cr 2.96, 4 Zr 3.08
Zr (0.5000, 0.5000, 0.3077)  4 Cr 2.79, 1 Pt 3.01, 4 Zr 3.08
Cr (0.0000, 0.0000, 0.5396)  5 Zr 2.79-2.96, 4 Pt 2.81
Pt (0.5000, 0.5000, 0.7767)  5 Zr 2.76-3.01, 4 Cr 2.81